First-principles (PBE-GGA) data for PtPb2Br after structural relaxation, as listed in the Alexandria database.

Unit cell a=4.019 b=4.019 c=8.402 alpha=76.22 beta=76.22 gamma=59.94
Element x y z (fractional)
Pb 0.985 0.985 0.044
Pb 0.515 0.515 0.456
Br 0.750 0.750 0.750
Pt 0.250 0.250 0.250

Computed properties:
* E above lowest polymorph: 0 meV per atom
* uncorrected formation energy: -1.54 eV/f.u.
* spin magnetization: 0.00 μB per cell
* SG: C2/m (12)
* raw total energy: -4.1665 eV per atom
* volume: 112.9 Å³/cell

First-principles (PBE-GGA) data for VP2Rh after structural relaxation, as listed in the Alexandria database.

Unit cell a=3.588 b=3.588 c=5.660 alpha=71.52 beta=71.52 gamma=60.00
Last column: magnetic moment on the atom in μB.
Element x y z (fractional)
P 0.247 0.247 0.258  -0.04
P 0.753 0.753 0.742  -0.04
Rh 0.500 0.500 0.500  0.15
V 0.000 0.000 0.000  1.54

Computed properties:
* DFT formation energy: -277 meV/atom
* E above lowest polymorph: 116 meV per atom
* spin magnetization: 1.78 μB per cell
* SG: R-3m (166)
* raw total energy: -7.0992 eV per atom
* volume: 58.7 Å³/cell

First-principles (PBE-GGA) data for Tm11Co4Pb9 after structural relaxation, as listed in the Alexandria database.

Unit cell a=3.812 b=12.802 c=12.802 alpha=112.47 beta=90.00 gamma=90.00
Element x y z (fractional)
Tm 0.000 0.581 0.910
Tm 0.000 0.419 0.090
Tm 0.000 0.910 0.581
Tm 0.000 0.090 0.419
Tm 0.000 0.625 0.375
Tm 0.000 0.375 0.625
Tm 0.000 0.837 0.163
Tm 0.000 0.163 0.837
Tm 0.000 0.000 0.000
Tm 0.000 0.687 0.687
Tm 0.000 0.313 0.313
Co 0.500 0.551 0.753
Co 0.500 0.449 0.247
Co 0.500 0.753 0.551
Co 0.500 0.247 0.449
Pb 0.500 0.626 0.149
Pb 0.500 0.374 0.851
Pb 0.500 0.149 0.626
Pb 0.500 0.851 0.374
Pb 0.500 0.779 0.930
Pb 0.500 0.221 0.070
Pb 0.500 0.930 0.779
Pb 0.500 0.070 0.221
Pb 0.500 0.500 0.500

Computed properties:
* DFT formation energy: -348 meV/atom
* spin magnetization: 0.00 μB per cell
* SG: Cmmm (65)
* raw total energy: -4.9721 eV per atom
* volume: 577.3 Å³/cell

First-principles (PBE-GGA) data for Li5GaHN2 after structural relaxation, as listed in the Alexandria database.

Unit cell a=3.985 b=3.985 c=7.566 alpha=90.00 beta=90.00 gamma=90.00
Element x y z (fractional)
Li 0.000 0.000 0.500
Li 0.000 0.500 0.731
Li 0.500 0.000 0.269
Li 0.000 0.500 0.269
Li 0.500 0.000 0.731
Ga 0.000 0.000 0.000
H 0.500 0.500 0.500
N 0.000 0.000 0.242
N 0.000 0.000 0.758

Computed properties:
* spin magnetization: 0.00 μB per cell
* SG: P4/mmm (123)
* raw total energy: -3.8962 eV per atom
* volume: 120.2 Å³/cell

First-principles (PBE-GGA) data for AcDyPd2 after structural relaxation, as listed in the Alexandria database.

Unit cell a=3.657 b=3.657 c=7.300 alpha=90.00 beta=90.00 gamma=90.00
Element x y z (fractional)
Ac 0.500 0.500 0.500
Pd 0.000 0.000 0.785
Pd 0.000 0.000 0.215
Dy 0.500 0.500 0.000

Computed properties:
* DFT formation energy: -772 meV/atom
* E above lowest polymorph: 54 meV per atom
* spin magnetization: 0.00 μB per cell
* SG: P4/mmm (123)
* raw total energy: -5.5463 eV per atom
* volume: 97.6 Å³/cell

First-principles (PBE-GGA) data for Cs2Li2ZrS4 after structural relaxation, as listed in the Alexandria database.

Unit cell a=4.002 b=7.965 c=7.671 alpha=107.57 beta=105.12 gamma=90.00
Element x y z (fractional)
Cs 0.140 0.563 0.279
Cs 0.860 0.437 0.721
Li 0.678 0.981 0.357
Li 0.322 0.019 0.643
Zr 0.000 0.000 0.000
S 0.183 0.145 0.366
S 0.817 0.855 0.634
S 0.516 0.791 0.031
S 0.484 0.209 0.969

Computed properties:
* uncorrected formation energy: -12.64 eV/f.u.
* spin magnetization: 0.00 μB per cell
* SG: C2/m (12)
* raw total energy: -4.8036 eV per atom
* volume: 224.2 Å³/cell

First-principles (PBE-GGA) data for PmPdRh after structural relaxation, as listed in the Alexandria database.

Unit cell a=3.819 b=4.386 c=4.386 alpha=120.00 beta=90.00 gamma=90.00
Element x y z (fractional)
Rh 0.167 0.333 0.667
Pd 0.167 0.000 0.000
Pm 0.667 0.667 0.333

Computed properties:
* DFT formation energy: -589 meV/atom
* E above lowest polymorph: 106 meV per atom
* spin magnetization: 0.00 μB per cell
* SG: P-6m2 (187)
* raw total energy: -6.3543 eV per atom
* volume: 63.6 Å³/cell

First-principles (PBE-GGA) data for AlZnCd2 after structural relaxation, as listed in the Alexandria database.

Unit cell a=10.795 b=10.795 c=10.795 alpha=15.59 beta=15.59 gamma=15.59
Element x y z (fractional)
Zn 0.493 0.493 0.493
Al 0.758 0.758 0.758
Cd 0.006 0.006 0.006
Cd 0.243 0.243 0.243

Computed properties:
* DFT formation energy: 57 meV/atom
* E above lowest polymorph: 0 meV per atom
* spin magnetization: 0.00 μB per cell
* SG: R3m (160)
* raw total energy: -1.6542 eV per atom
* volume: 79.1 Å³/cell

- Which value of spin magnetization does entry 3 give?
  0.00 μB per cell

- Among the records above, which one has the lowest volume?
  VP2Rh

- What is the volume in the fourth record?
  120.2 Å³/cell

- Among the records above, which one has the lowest raw total energy?
  VP2Rh